1.
{"formula": "AsOsRh2N", "functional": "GGA-PBE", "state": "optimized geometry", "cell": [[4.236, 0.000, 0.000], [0.000, 4.236, 0.000], [0.000, 0.000, 3.900]], "species": ["As", "Os", "Rh", "Rh", "N"], "fractional_positions": [[0.000, 0.000, 0.000], [0.500, 0.500, 0.000], [0.000, 0.500, 0.500], [0.500, 0.000, 0.500], [0.500, 0.500, 0.500]], "total_magnetization_mub_per_fu": 0.000, "total_energy_ev_per_cell": -36.65, "n_ef_per_ev_cell": 4.81}

2.
{"formula": "AsOsRuN2", "functional": "GGA-PBE", "state": "optimized geometry", "cell": [[3.668, 0.000, 0.000], [0.000, 3.668, 0.000], [0.000, 0.000, 5.708]], "species": ["As", "Os", "Ru", "N", "N"], "fractional_positions": [[0.000, 0.000, 0.000], [0.500, 0.500, 0.000], [0.500, 0.500, 0.500], [0.000, 0.500, 0.500], [0.500, 0.000, 0.500]], "total_magnetization_mub_per_fu": 0.698, "total_energy_ev_per_cell": -35.78, "n_ef_per_ev_cell": 4.53}

3.
{"formula": "AsOsSN2", "functional": "GGA-PBE", "state": "optimized geometry", "cell": [[3.709, 0.000, 0.000], [0.000, 3.709, 0.000], [0.000, 0.000, 4.644]], "species": ["As", "Os", "S", "N", "N"], "fractional_positions": [[0.000, 0.000, 0.000], [0.500, 0.500, 0.500], [0.000, 0.000, 0.500], [0.000, 0.500, 0.000], [0.500, 0.000, 0.000]], "total_magnetization_mub_per_fu": 0.001, "e_above_lowest_polymorph_ev_per_atom": 1.093, "n_ef_per_ev_cell": 4.62}